1.
The following is a DFT calculation (GGA-PBEsol) of a relaxed Cs2TePb crystal.

Computed properties:
- Energy relative to the elements, uncorrected: -0.21 eV per atom
- DOS(E_F): 3.64 states/eV/cell
- Space-group type: Fm-3m
- Total moment: 1.96 Bohr magnetons per cell

a = 6.305 Å, b = 6.305 Å, c = 6.305 Å
α = 60.00°, β = 60.00°, γ = 60.00°
Atoms (fractional coordinates):
Cs 0.250 0.250 0.250
Cs 0.750 0.750 0.750
Te 0.000 0.000 0.000
Pb 0.500 0.500 0.500



2.
The following is a DFT calculation (GGA-PBEsol) of a relaxed CsTl2Pb2 crystal.

Computed properties:
- DOS(E_F): 4.50 states/eV/cell
- Space-group type: P4/mbm
- Formation energy: -69 meV/atom
- Total moment: 0.00 Bohr magnetons per cell

a = 9.704 Å, b = 9.704 Å, c = 3.544 Å
α = 90.00°, β = 90.00°, γ = 90.00°
Atoms (fractional coordinates):
Cs 0.000 0.000 0.000
Cs 0.500 0.500 0.000
Tl 0.159 0.341 0.500
Tl 0.341 0.841 0.500
Tl 0.659 0.159 0.500
Tl 0.841 0.659 0.500
Pb 0.127 0.627 0.000
Pb 0.373 0.127 0.000
Pb 0.627 0.873 0.000
Pb 0.873 0.373 0.000



3.
The following is a DFT calculation (GGA-PBEsol) of a relaxed Cs2Tl2Pb crystal.

Computed properties:
- DOS(E_F): 6.98 states/eV/cell
- Space-group type: P4/mbm
- Formation energy: -54 meV/atom
- Total moment: 0.00 Bohr magnetons per cell

a = 8.035 Å, b = 8.035 Å, c = 6.338 Å
α = 90.00°, β = 90.00°, γ = 90.00°
Atoms (fractional coordinates):
Cs 0.180 0.320 0.000
Cs 0.320 0.820 0.000
Cs 0.680 0.180 0.000
Cs 0.820 0.680 0.000
Tl 0.133 0.633 0.500
Tl 0.367 0.133 0.500
Tl 0.633 0.867 0.500
Tl 0.867 0.367 0.500
Pb 0.000 0.000 0.500
Pb 0.500 0.500 0.500



4.
The following is a DFT calculation (GGA-PBEsol) of a relaxed Cs2TlPb crystal.

Computed properties:
- DOS(E_F): 4.08 states/eV/cell
- Space-group type: Fm-3m
- Formation energy: 102 meV/atom
- Total moment: 0.01 Bohr magnetons per cell

a = 6.243 Å, b = 6.243 Å, c = 6.243 Å
α = 60.00°, β = 60.00°, γ = 60.00°
Atoms (fractional coordinates):
Cs 0.250 0.250 0.250
Cs 0.750 0.750 0.750
Tl 0.000 0.000 0.000
Pb 0.500 0.500 0.500



5.
The following is a DFT calculation (GGA-PBEsol) of a relaxed CsTl2Pb2 crystal.

Computed properties:
- DOS(E_F): 1.82 states/eV/cell
- Space-group type: I4/mmm
- Formation energy: -74 meV/atom
- Total moment: 0.00 Bohr magnetons per cell

a = 7.161 Å, b = 7.161 Å, c = 7.161 Å
α = 135.15°, β = 135.15°, γ = 65.30°
Atoms (fractional coordinates):
Cs 0.000 0.000 0.000
Tl 0.250 0.750 0.500
Tl 0.750 0.250 0.500
Pb 0.374 0.374 0.000
Pb 0.626 0.626 0.000



6.
The following is a DFT calculation (GGA-PBEsol) of a relaxed CsPb2W2 crystal.

Computed properties:
- DOS(E_F): 2.63 states/eV/cell
- Space-group type: I4/mmm
- Formation energy: 1124 meV/atom
- Total moment: 0.00 Bohr magnetons per cell

a = 5.942 Å, b = 5.942 Å, c = 5.942 Å
α = 125.57°, β = 125.57°, γ = 80.59°
Atoms (fractional coordinates):
Cs 0.000 0.000 0.000
Pb 0.250 0.750 0.500
Pb 0.750 0.250 0.500
W 0.374 0.374 0.000
W 0.626 0.626 0.000



7.
The following is a DFT calculation (GGA-PBEsol) of a relaxed CsYPb3 crystal.

Computed properties:
- DOS(E_F): 6.15 states/eV/cell
- Space-group type: Pm-3m
- Formation energy: 1178 meV/atom
- Total moment: 0.00 Bohr magnetons per cell

a = 5.940 Å, b = 5.940 Å, c = 5.940 Å
α = 90.00°, β = 90.00°, γ = 90.00°
Atoms (fractional coordinates):
Cs 0.000 0.000 0.000
Y 0.500 0.500 0.500
Pb 0.000 0.000 0.500
Pb 0.000 0.500 0.000
Pb 0.500 0.000 0.000



8.
The following is a DFT calculation (GGA-PBEsol) of a relaxed Cs2SrPdPt crystal.

Computed properties:
- DOS(E_F): 1.10 states/eV/cell
- Space-group type: P4/mmm
- Formation energy: 405 meV/atom
- Total moment: 0.00 Bohr magnetons per cell

a = 5.805 Å, b = 5.805 Å, c = 5.798 Å
α = 90.00°, β = 90.00°, γ = 90.00°
Atoms (fractional coordinates):
Cs 0.000 0.500 0.000
Cs 0.500 0.000 0.000
Sr 0.000 0.000 0.500
Pd 0.000 0.000 0.000
Pt 0.500 0.500 0.500



9.
The following is a DFT calculation (GGA-PBEsol) of a relaxed CsRbTePdSe crystal.

Computed properties:
- Energy relative to the elements, uncorrected: -0.83 eV per atom
- Space-group type: Cm
- Total moment: 0.00 Bohr magnetons per cell

a = 6.874 Å, b = 6.874 Å, c = 7.843 Å
α = 124.24°, β = 124.24°, γ = 33.22°
Atoms (fractional coordinates):
Cs 0.000 0.000 0.000
Rb 0.613 0.613 0.613
Te 0.310 0.310 0.501
Pd 0.807 0.807 0.279
Se 0.306 0.306 0.077



10.
The following is a DFT calculation (GGA-PBEsol) of a relaxed CsPd2S crystal.

Computed properties:
- Energy relative to the elements, uncorrected: -0.50 eV per atom
- DOS(E_F): 1.95 states/eV/cell
- Space-group type: I4_1/amd
- Total moment: 0.00 Bohr magnetons per cell

a = 8.239 Å, b = 8.239 Å, c = 8.239 Å
α = 141.72°, β = 141.72°, γ = 55.25°
Atoms (fractional coordinates):
Cs 0.375 0.625 0.750
Cs 0.625 0.375 0.250
Pd 0.000 0.000 0.000
Pd 0.000 0.000 0.500
Pd 0.000 0.500 0.000
Pd 0.500 0.000 0.500
S 0.125 0.875 0.250
S 0.875 0.125 0.750



11.
The following is a DFT calculation (GGA-PBEsol) of a relaxed Cs2UPd3S6 crystal.

Computed properties:
- Energy relative to the elements, uncorrected: -0.98 eV per atom
- DOS(E_F): 13.50 states/eV/cell
- Space-group type: Fmmm
- Total moment: 3.49 Bohr magnetons per cell

a = 11.266 Å, b = 9.588 Å, c = 8.996 Å
α = 74.55°, β = 55.12°, γ = 50.33°
Atoms (fractional coordinates):
Cs 0.197 0.803 0.197
Cs 0.250 0.250 0.250
Cs 0.750 0.750 0.750
Cs 0.803 0.197 0.803
U 0.333 0.333 0.667
U 0.667 0.667 0.333
Pd 0.003 0.676 0.997
Pd 0.324 0.997 0.676
Pd 0.327 0.673 0.673
Pd 0.673 0.327 0.327
Pd 0.676 0.003 0.324
Pd 0.997 0.324 0.003
S 0.101 0.309 0.691
S 0.105 0.690 0.683
S 0.309 0.101 0.899
S 0.310 0.895 0.479
S 0.317 0.479 0.895
S 0.479 0.317 0.310
S 0.521 0.683 0.690
S 0.683 0.521 0.105
S 0.690 0.105 0.521
S 0.691 0.899 0.101
S 0.895 0.310 0.317
S 0.899 0.691 0.309



12.
The following is a DFT calculation (GGA-PBEsol) of a relaxed CsSb2Pd crystal.

Computed properties:
- Energy relative to the elements, uncorrected: 0.31 eV per atom
- DOS(E_F): 2.35 states/eV/cell
- Space-group type: Fm-3m
- Total moment: 0.00 Bohr magnetons per cell

a = 5.277 Å, b = 5.277 Å, c = 5.277 Å
α = 60.00°, β = 60.00°, γ = 60.00°
Atoms (fractional coordinates):
Cs 0.000 0.000 0.000
Sb 0.250 0.250 0.250
Sb 0.750 0.750 0.750
Pd 0.500 0.500 0.500



no.,E_tot (eV per cell)
1,-10.27
2,-29.09
3,-22.82
4,-8.11
5,-14.57
6,-30.94
7,-13.87
8,-14.62
9,-19.47
10,-38.52
11,-139.87
12,-14.76